A plane-wave DFT calculation with PBE was carried out for a relaxed NaYPuBr6 crystal.

Summary:
E = -5.219 eV per atom
ρ = 4.4 g/cm3
ΔE_f (raw) = -1.65 eV/atom
total magnetic moment = 12.000 μB per cell
space-group type = P-31c (163)
N(E_F) = 16.8 states/eV/f.u.

CIF file:
```
data_NaYPuBr6
_cell_length_a 7.342
_cell_length_b 7.342
_cell_length_c 13.481
_cell_angle_alpha 90.00
_cell_angle_beta 90.00
_cell_angle_gamma 120.00
_symmetry_space_group_name_H-M 'P 1'
_symmetry_Int_Tables_number 1
loop_
_symmetry_equiv_pos_as_xyz
'x,y,z'
loop_
_atom_site_label
_atom_site_type_symbol
_atom_site_fract_x
_atom_site_fract_y
_atom_site_fract_z
Na1 Na 0.000 0.000 0.500
Pu1 Pu 0.667 0.333 0.750
Pu2 Pu 0.333 0.667 0.250
Br1 Br 0.984 0.338 0.129
Br2 Br 0.354 0.016 0.129
Br3 Br 0.984 0.646 0.371
Na2 Na 0.000 0.000 0.000
Br4 Br 0.662 0.646 0.129
Br5 Br 0.646 0.662 0.629
Br6 Br 0.016 0.354 0.629
Br7 Br 0.646 0.984 0.871
Br8 Br 0.016 0.662 0.871
Y1 Y 0.333 0.667 0.750
Br9 Br 0.354 0.338 0.371
Br10 Br 0.338 0.354 0.871
Y2 Y 0.667 0.333 0.250
Br11 Br 0.338 0.984 0.629
Br12 Br 0.662 0.016 0.371
```